A plane-wave DFT calculation with GGA-PBE was carried out for a relaxed Tb3Tm4Ag crystal.

a b c (Å): 3.517 3.517 18.815
angles (deg): 90.00 90.00 90.00
Element x y z (fractional)
Tb1 0.500 0.500 0.765
Ag1 0.500 0.500 0.000
Tm1 0.000 0.000 0.900
Tm2 0.000 0.000 0.367
Tb2 0.500 0.500 0.235
Tm3 0.000 0.000 0.100
Tb3 0.500 0.500 0.500
Tm4 0.000 0.000 0.633

Calculated volume: 232.8 Å³ per cell
Density: 9.0 g/cm3
Energy of formation from the pure elements: -0.0599 eV/atom
Electronic total energy: -4.39 eV per atom

A plane-wave DFT calculation with GGA-PBE was carried out for a relaxed Li2BeMo crystal.

a b c (Å): 4.097 4.097 4.097
angles (deg): 60.00 60.00 60.00
Each line ends with the local moment (μB).
Element x y z (fractional)
Mo1 0.500 0.500 0.500  0.46
Be1 0.000 0.000 0.000  -0.02
Li1 0.750 0.750 0.750  0.00
Li2 0.250 0.250 0.250  0.00

Calculated volume: 48.6 Å³ per cell
Density: 4.1 g/cm3
Energy of formation from the pure elements: 0.7321 eV/atom
Electronic total energy: -3.86 eV per atom

A plane-wave DFT calculation with GGA-PBE was carried out for a relaxed NdMgAl2Cu2 crystal.

a b c (Å): 4.304 4.304 7.089
angles (deg): 90.00 90.00 120.00
Element x y z (fractional)
Cu1 0.667 0.333 0.693
Al1 0.667 0.333 0.296
Nd1 0.000 0.000 0.000
Cu2 0.333 0.667 0.307
Al2 0.333 0.667 0.704
Mg1 0.000 0.000 0.500

Calculated volume: 113.7 Å³ per cell
Density: 5.1 g/cm3
Energy of formation from the pure elements: -0.3094 eV/atom
Electronic total energy: -3.98 eV per atom

A plane-wave DFT calculation with GGA-PBE was carried out for a relaxed Ba2HgOsCl crystal.

a b c (Å): 6.455 5.035 6.455
angles (deg): 90.00 90.00 90.00
Each line ends with the local moment (μB).
Element x y z (fractional)
Ba1 0.000 0.000 0.500  -0.03
Cl1 0.500 0.500 0.500  0.01
Os1 0.000 0.500 0.000  1.30
Ba2 0.500 0.000 0.000  -0.04
Hg1 0.000 0.000 0.000  -0.01

Calculated volume: 209.8 Å³ per cell
Density: 5.5 g/cm3
ΔE_f (raw): 195 meV/atom
Electronic total energy: -3.25 eV per atom

A plane-wave DFT calculation with GGA-PBE was carried out for a relaxed ZrSnP3 crystal.

a b c (Å): 5.032 5.032 5.032
angles (deg): 90.00 90.00 90.00
Element x y z (fractional)
Zr1 0.000 0.000 0.000
P1 0.000 0.000 0.500
P2 0.500 0.000 0.000
P3 0.000 0.500 0.000
Sn1 0.500 0.500 0.500

Calculated volume: 127.4 Å³ per cell
Density: 3.9 g/cm3
Energy of formation from the pure elements: 0.2753 eV/atom
Electronic total energy: -5.48 eV per atom

A plane-wave DFT calculation with GGA-PBE was carried out for a relaxed In2Sn3Pb6 crystal.

a b c (Å): 3.419 12.238 8.100
angles (deg): 88.73 102.18 90.00
Element x y z (fractional)
Sn1 0.318 0.421 0.636
Pb1 0.952 0.240 0.905
Sn2 0.682 0.579 0.364
Pb2 0.717 0.869 0.435
Sn3 0.000 0.500 0.000
Pb3 0.283 0.131 0.565
Pb4 0.048 0.760 0.095
Pb5 0.639 0.311 0.278
In1 0.092 0.043 0.184
Pb6 0.361 0.689 0.722
In2 0.908 0.957 0.816

Calculated volume: 331.2 Å³ per cell
Density: 9.2 g/cm3
Energy of formation from the pure elements: 0.0485 eV/atom
Electronic total energy: -3.56 eV per atom

A plane-wave DFT calculation with GGA-PBE was carried out for a relaxed BeVSi crystal.

a b c (Å): 2.606 3.875 3.875
angles (deg): 120.00 90.00 90.00
Element x y z (fractional)
Si1 0.166 0.000 0.000
Be1 0.167 0.667 0.333
V1 0.667 0.333 0.667

Calculated volume: 33.9 Å³ per cell
Density: 4.3 g/cm3
ΔE_f (raw): -249 meV/atom
Electronic total energy: -6.34 eV per atom

A plane-wave DFT calculation with GGA-PBE was carried out for a relaxed Tb2TlPb2 crystal.

a b c (Å): 3.599 5.123 17.604
angles (deg): 90.00 90.00 90.00
Element x y z (fractional)
Tb1 0.000 0.992 0.819
Pb1 0.500 0.492 0.860
Tl1 0.000 0.000 0.000
Tl2 0.000 0.500 0.500
Pb2 0.500 0.008 0.360
Tb2 0.000 0.008 0.181
Pb3 0.500 0.508 0.140
Tb3 0.000 0.508 0.319
Pb4 0.500 0.992 0.640
Tb4 0.000 0.492 0.681

Calculated volume: 324.6 Å³ per cell
Density: 9.6 g/cm3
Energy of formation from the pure elements: -0.1935 eV/atom
Electronic total energy: -4.00 eV per atom